VASP calculation (GGA+U) on an optimized crystal structure of KV2OsO8.

Cell: 8.5235 5.9750 7.1411 Å, 90.00 109.23 90.00°
Last column: nearest neighbours and their distance in Å.
Space group C2/m (No. 12)
Unique sites:
K 0.0000 0.0000 0.0000 (multiplicity 2)  4 O 2.65
V 0.0473 0.5000 0.2166 (multiplicity 4)  5 O 1.76-1.92
Os 0.0000 0.0000 0.5000 (multiplicity 2)  6 O 1.83-1.99
O 0.0081 0.2430 0.3136 (multiplicity 8)  1 V 1.76
O 0.1425 0.5000 0.0135 (multiplicity 4)  2 V 1.88-1.89
O 0.2274 0.0000 0.6057 (multiplicity 4)  1 Os 1.83, 1 V 1.92

Summary:
VASP energy: -7.13 eV per atom
N(E_F): 0.32 states/eV per atom